Computed, not measured: BiOs2PtS after structural relaxation at the PBE-GGA level of DFT.

Lattice parameters (Å, degrees): 4.4201 4.4201 4.7660 90.00 90.00 90.00
Element x y z (fractional)
Bi  0.0000  0.0000  0.0000
Os  0.0000  0.5000  0.5000
Os  0.5000  0.0000  0.5000
Pt  0.5000  0.5000  0.0000
S  0.5000  0.5000  0.5000

energy relative to the elements, uncorrected = 432 kJ/mol of formula units
space-group type = No. 123